A plane-wave DFT calculation with PBE was carried out for a geometry-optimized Li3YPd2 structure.

Results
Magnetization   0.000 Bohr magnetons per cell
Formation energy from the elements   -0.490 eV/atom
D(E_F)   4.943 states/eV per cell

Lattice parameters (Å, degrees): 4.1486 7.1527 8.4555 117.74 90.00 106.86
Sites, in units of the cell vectors:
Li1 0.2786 0.5572 0.4481
Li2 0.9402 0.8803 0.6047
Li3 0.5820 0.1640 0.6919
Li4 0.4180 0.8360 0.3081
Li5 0.0598 0.1197 0.3953
Li6 0.7214 0.4428 0.5519
Y1 0.8652 0.7305 0.9805
Y2 0.1348 0.2695 0.0195
Pd1 0.4358 0.8716 0.8095
Pd2 0.5642 0.1284 0.1905
Pd3 0.7909 0.5819 0.2559
Pd4 0.2091 0.4181 0.7441